[1]
This record from Alexandria via LeMat-Bulk describes a geometry-optimized InSiW2 structure. The functional is GGA-PBE.

Cell: 5.074 5.074 4.693 Å, 106.13 106.13 34.99°
Fractional positions:
In: 0.000 0.000 0.000
Si: 0.231 0.231 0.686
W: 0.505 0.505 0.506
W: 0.760 0.760 0.215

## Properties
DFT total energy, eV/atom: -8.016
Calculated density, g/cm³: 12.8
Density of states at the Fermi level, states/eV/atom: 0.657
Energy relative to the elements, uncorrected, eV/atom: 0.50

[2]
This record from Alexandria via LeMat-Bulk describes a geometry-optimized InSiW2 structure. The functional is GGA-PBE.

Cell: 2.925 4.571 5.289 Å, 90.00 104.44 90.00°
Fractional positions:
In: 0.000 0.000 0.000
Si: 0.657 0.500 0.257
W: 0.388 0.500 0.694
W: 0.667 0.000 0.477

## Properties
DFT total energy, eV/atom: -8.066
Calculated density, g/cm³: 12.4
Density of states at the Fermi level, states/eV/atom: 0.570
Energy relative to the elements, uncorrected, eV/atom: 0.45

[3]
This record from Alexandria via LeMat-Bulk describes a geometry-optimized In2SiW structure. The functional is GGA-PBE.

Cell: 5.722 5.722 5.212 Å, 106.96 106.96 28.67°
Fractional positions:
In: 0.000 0.000 0.000
In: 0.202 0.202 0.631
Si: 0.436 0.436 0.463
W: 0.754 0.754 0.160

## Properties
DFT total energy, eV/atom: -5.517
Calculated density, g/cm³: 9.4
Density of states at the Fermi level, states/eV/atom: 0.452
Energy relative to the elements, uncorrected, eV/atom: 0.45

[4]
This record from Alexandria via LeMat-Bulk describes a geometry-optimized InSiW2 structure. The functional is GGA-PBE.

Cell: 4.514 4.514 4.514 Å, 60.00 60.00 60.00°
Fractional positions:
In: 0.000 0.000 0.000
Si: 0.500 0.500 0.500
W: 0.250 0.250 0.250
W: 0.750 0.750 0.750

## Properties
DFT total energy, eV/atom: -7.845
Calculated density, g/cm³: 13.0
Density of states at the Fermi level, states/eV/atom: 0.541
Energy relative to the elements, uncorrected, eV/atom: 0.67

[5]
This record from Alexandria via LeMat-Bulk describes a geometry-optimized InSiW2 structure. The functional is GGA-PBE.

Cell: 10.032 10.032 10.032 Å, 157.59 157.59 31.90°
Fractional positions:
In: 0.000 0.000 0.000
In: 0.750 0.250 0.500
Si: 0.250 0.750 0.500
Si: 0.500 0.500 0.000
W: 0.164 0.625 0.039
W: 0.375 0.414 0.539
W: 0.586 0.125 0.961
W: 0.875 0.836 0.461

## Properties
DFT total energy, eV/atom: -7.756
Calculated density, g/cm³: 11.6
Density of states at the Fermi level, states/eV/atom: 0.427
Energy relative to the elements, uncorrected, eV/atom: 0.76

[6]
This record from Alexandria via LeMat-Bulk describes a geometry-optimized InSi2W structure. The functional is GGA-PBE.

Cell: 9.688 9.688 9.688 Å, 17.32 17.32 17.32°
Fractional positions:
In: 0.000 0.000 0.000
Si: 0.507 0.507 0.507
Si: 0.771 0.771 0.771
W: 0.245 0.245 0.245

## Properties
DFT total energy, eV/atom: -6.149
Calculated density, g/cm³: 8.4
Density of states at the Fermi level, states/eV/atom: 0.587
Energy relative to the elements, uncorrected, eV/atom: 0.49

[7]
This record from Alexandria via LeMat-Bulk describes a geometry-optimized InSi2W structure. The functional is GGA-PBE.

Cell: 3.324 3.324 6.094 Å, 90.00 90.00 90.00°
Fractional positions:
In: 0.000 0.000 0.000
Si: 0.500 0.500 0.297
Si: 0.500 0.500 0.703
W: 0.000 0.000 0.500

## Properties
DFT total energy, eV/atom: -6.404
Calculated density, g/cm³: 8.8
Density of states at the Fermi level, states/eV/atom: 0.416
Energy relative to the elements, uncorrected, eV/atom: 0.23

[8]
This record from Alexandria via LeMat-Bulk describes a geometry-optimized InSiW2 structure. The functional is GGA-PBE.

Cell: 4.556 4.556 4.556 Å, 60.00 60.00 60.00°
Fractional positions:
In: 0.000 0.000 0.000
Si: 0.250 0.250 0.250
W: 0.500 0.500 0.500
W: 0.750 0.750 0.750

## Properties
DFT total energy, eV/atom: -7.891
Calculated density, g/cm³: 12.7
Density of states at the Fermi level, states/eV/atom: 0.253
Energy relative to the elements, uncorrected, eV/atom: 0.63

What is the DFT total energy in the second record? -8.066 eV/atom

Number 4 is which compound? InSiW2